Record 1
Pm2BeF8 (PBE, relaxed); total moment = 0.0 μB/cell; E_tot = -6.351 eV/atom; calculated volume = 145.0 Å³/cell
1.0
4.623 -3.610 0.000
4.623 3.610 0.000
-1.433 0.000 4.345
Pm Be F
2 1 8
direct
0.185 0.185 0.363
0.815 0.815 0.637
0.500 0.500 0.000
0.087 0.087 0.800
0.180 0.551 0.731
0.392 0.392 0.201
0.449 0.820 0.269
0.551 0.180 0.731
0.608 0.608 0.799
0.820 0.449 0.269
0.913 0.913 0.200


Record 2
PmBeF (PBE, relaxed); total moment = 0.0 μB/cell; E_tot = -4.329 eV/atom; calculated volume = 104.5 Å³/cell
1.0
9.164 0.000 0.000
0.000 1.470 3.877
0.000 -1.470 3.877
Pm Be F
2 2 2
direct
0.221 0.000 0.000
0.779 0.000 0.000
0.000 0.289 0.289
0.500 0.705 0.705
0.374 0.284 0.284
0.626 0.284 0.284


Record 3
Rb2PmBeF6 (PBE, relaxed); total moment = 0.9 μB/cell; E_tot = -5.058 eV/atom; calculated volume = 161.8 Å³/cell
1.0
-2.788 3.133 4.633
2.788 -3.133 4.633
2.788 3.133 -4.633
Rb Pm Be F
2 1 1 6
direct
0.239 0.239 0.000
0.761 0.761 0.000
0.500 0.000 0.500
0.000 0.500 0.500
0.190 0.280 0.471
0.190 0.720 0.910
0.255 0.755 0.500
0.745 0.245 0.500
0.810 0.280 0.090
0.810 0.720 0.529


Record 4
RbPmBe2F8 (PBE, relaxed); total moment = 0.2 μB/cell; E_tot = -5.813 eV/atom; calculated volume = 204.4 Å³/cell
1.0
4.255 -2.799 0.000
4.255 2.799 0.000
-0.598 0.000 8.580
Rb Pm Be F
1 1 2 8
direct
0.000 0.000 0.000
0.000 0.000 0.500
0.381 0.381 0.723
0.619 0.619 0.277
0.254 0.716 0.698
0.261 0.261 0.570
0.284 0.746 0.302
0.308 0.308 0.875
0.692 0.692 0.125
0.716 0.254 0.698
0.739 0.739 0.430
0.746 0.284 0.302


Number 1 is which compound?
Pm2BeF8